(1)
Compound: KNaRe2As
Source: Alexandria via LeMat-Bulk
Functional: PBE
Structure: relaxed

Geometry as extended XYZ:
```
5
Lattice="5.030 0.000 0.000 0.000 5.030 0.000 0.000 0.000 5.090" Properties=species:S:1:pos:R:3 pbc="T T T"
K 0.000 0.000 0.000
Na 2.515 2.515 2.545
Re 0.000 2.515 2.545
Re 2.515 0.000 2.545
As 2.515 2.515 0.000
```

- energy relative to the elements (eV per atom) = 2.501
- space group = No. 123


(2)
Compound: UIn5Rh6
Source: Alexandria via LeMat-Bulk
Functional: PBE
Structure: relaxed

Geometry as extended XYZ:
```
12
Lattice="2.239 -6.711 0.000 2.239 6.711 0.000 0.000 0.000 7.006" Properties=species:S:1:pos:R:3 pbc="T T T"
U 0.000 0.000 0.000
In 0.000 0.000 3.503
In 2.239 2.318 0.000
In 2.239 2.217 3.503
In 2.239 -2.217 3.503
In 2.239 -2.318 0.000
Rh 2.239 4.507 1.775
Rh 2.239 4.507 5.231
Rh 2.239 0.000 1.691
Rh 2.239 0.000 5.316
Rh 2.239 -4.507 1.775
Rh 2.239 -4.507 5.231
```

- energy relative to the elements (eV per atom) = -0.436
- space group = No. 65


(3)
Compound: RbAsH2N
Source: Alexandria via LeMat-Bulk
Functional: PBE
Structure: relaxed

Geometry as extended XYZ:
```
5
Lattice="3.700 0.000 0.000 0.000 3.700 0.000 0.000 0.000 7.747" Properties=species:S:1:pos:R:3 pbc="T T T"
Rb 0.000 0.000 0.000
As 0.000 0.000 3.873
H 0.000 1.850 3.873
H 1.850 0.000 3.873
N 1.850 1.850 0.000
```

- space group = No. 123


(4)
Compound: Hf5Ti2Pd12
Source: Alexandria via LeMat-Bulk
Functional: PBE
Structure: relaxed

Geometry as extended XYZ:
```
19
Lattice="7.909 -2.673 0.000 7.909 2.673 0.000 -3.859 0.000 8.477" Properties=species:S:1:pos:R:3 pbc="T T T"
Hf 0.000 0.000 0.000
Hf 4.613 0.000 1.094
Hf 2.866 0.000 5.296
Hf 9.094 0.000 3.181
Hf 7.347 0.000 7.383
Ti 5.980 1.344 4.238
Ti 5.980 -1.344 4.238
Pd 3.635 1.368 3.236
Pd -1.685 0.000 6.741
Pd 1.921 1.336 7.556
Pd 10.038 1.336 0.920
Pd 8.325 1.368 5.241
Pd 7.306 0.000 1.290
Pd 4.653 0.000 7.187
Pd 3.635 -1.368 3.236
Pd 1.921 -1.336 7.556
Pd 10.038 -1.336 0.920
Pd 13.645 0.000 1.736
Pd 8.325 -1.368 5.241
```

- energy relative to the elements (eV per atom) = -0.431
- space group = No. 12


(5)
Compound: HgAs2P6
Source: Alexandria via LeMat-Bulk
Functional: PBE
Structure: relaxed

Geometry as extended XYZ:
```
9
Lattice="4.178 -4.993 0.000 4.178 4.993 0.000 -0.036 0.000 4.304" Properties=species:S:1:pos:R:3 pbc="T T T"
Hg 0.000 0.000 0.000
As 4.160 1.871 2.152
As 4.160 -1.871 2.152
P 1.978 1.650 3.624
P 3.266 0.000 0.635
P 1.978 -1.650 3.624
P 6.342 1.650 0.679
P 5.054 0.000 3.669
P 6.342 -1.650 0.679
```

- energy relative to the elements (eV per atom) = 0.253
- space group = No. 12


(6)
Compound: Mn2AgOs
Source: Alexandria via LeMat-Bulk
Functional: PBE
Structure: relaxed

Geometry as extended XYZ:
```
4
Lattice="4.544 -1.397 0.000 4.544 1.397 0.000 -0.934 0.000 4.584" Properties=species:S:1:pos:R:3 pbc="T T T"
Mn 0.000 0.000 0.000
Mn 1.617 0.000 3.226
Ag 4.041 0.000 2.247
Os 6.529 0.000 0.774
```

- energy relative to the elements (eV per atom) = 0.407
- space group = No. 8


(7)
Compound: AcTb2Ho6
Source: Alexandria via LeMat-Bulk
Functional: PBE
Structure: relaxed

Geometry as extended XYZ:
```
9
Lattice="3.426 1.978 8.408 -3.426 1.978 8.408 0.000 -3.956 8.408" Properties=species:S:1:pos:R:3 pbc="T T T"
Ac 0.000 0.000 0.000
Tb 0.000 0.000 6.071
Tb 0.000 0.000 10.543
Ho -1.693 -0.978 13.879
Ho -1.757 -1.014 19.736
Ho 1.693 -0.978 13.879
Ho 0.000 1.955 13.879
Ho 1.757 -1.014 19.736
Ho 0.000 2.029 19.736
```

- energy relative to the elements (eV per atom) = 0.392
- space group = No. 160


no.,mass density (g/cm3),total DFT energy (no corrections) (eV/atom),D(E_F) (states/eV/f.u.)
1,6.57,-3.89,5.15
2,11.27,-6.19,11.00
3,2.76,-2.96,5.32
4,10.49,-7.16,11.89
5,4.96,-4.42,3.33
6,11.64,-7.70,4.85
7,7.45,-4.15,15.03